BaZrMn (SCAN, single point on PBEsol structure); energy above the lowest structure with this stoichiometry = 0 meV per atom
1.0
-0.0516 -3.4875 0.0205
1.4944 1.7376 2.6293
-6.2369 0.1127 3.4704
Zr Mn Ba
1 1 1
direct
0.6667 0.3333 0.4071
0.3333 0.6667 0.6300
0.0000 0.0000 0.9629

---

BaZr2Mn (SCAN, single point on PBEsol structure); energy above the lowest structure with this stoichiometry = 355 meV per atom
1.0
5.1325 0.0000 0.0000
2.5663 4.4449 0.0000
2.5663 1.4816 4.1907
Zr Mn Ba
2 1 1
direct
0.7500 0.7500 0.7500
0.0000 0.0000 0.0000
0.2500 0.2500 0.2500
0.5000 0.5000 0.5000

---

BaZr2Mn (SCAN, single point on PBEsol structure); energy above the lowest structure with this stoichiometry = 0 meV per atom
1.0
-2.9797 -1.3993 1.0847
0.0503 -2.1891 -2.6859
4.2451 -5.5054 4.5666
Ba Zr Mn
1 2 1
direct
0.0003 0.0000 0.5368
0.4999 0.5000 0.1797
0.9999 0.0000 0.9582
0.4998 0.5000 0.8252

---

BaZrMn (SCAN, single point on PBEsol structure); energy above the lowest structure with this stoichiometry = 279 meV per atom
1.0
4.7407 0.0000 0.0000
2.3704 4.1056 0.0000
2.3704 1.3685 3.8708
Mn Ba Zr
1 1 1
direct
0.2500 0.2500 0.2500
0.5000 0.5000 0.5000
0.0000 0.0000 0.0000

---

BaZrMn2 (SCAN, single point on PBEsol structure); energy above the lowest structure with this stoichiometry = 0 meV per atom
1.0
-2.3509 -0.8498 1.8363
-1.5047 -1.1497 -2.4566
3.8306 -7.7895 1.2992
Mn Zr Ba
2 1 1
direct
0.0000 0.0000 0.9104
0.5000 0.5000 0.7931
0.0000 0.0000 0.5829
0.5000 0.5000 0.2136

---

BaZr2Mn (SCAN, single point on PBEsol structure); energy above the lowest structure with this stoichiometry = 314 meV per atom
1.0
3.3071 0.0000 0.0000
0.0000 5.3135 0.0000
0.0000 0.0000 5.3199
Ba Mn Zr
1 1 2
direct
0.5000 0.5000 0.0000
0.0000 0.5000 0.5000
0.0000 0.0000 0.0000
0.5000 0.0000 0.5000

---

no.,formation energy from the elements (eV per atom),total magnetic moment (μB/cell)
1,0.669,1.6
2,0.648,3.0
3,0.294,3.6
4,0.948,1.1
5,0.282,1.1
6,0.607,3.3